Record 1
Computed, not measured: crystalline Li5Hg2Bi2 at its relaxed geometry at the PBE level of DFT.

Unit cell a=5.1848 b=5.1848 c=8.9865 alpha=101.26 beta=101.26 gamma=57.00
Element x y z (fractional)
Li1 0.0000 0.0000 0.0000
Li2 0.1216 0.1216 0.7083
Li3 0.2305 0.2305 0.3624
Li4 0.7695 0.7695 0.6376
Li5 0.8784 0.8784 0.2917
Hg1 0.3304 0.3304 0.9987
Hg2 0.6696 0.6696 0.0013
Bi1 0.4446 0.4446 0.6751
Bi2 0.5554 0.5554 0.3249

Computed properties:
Size of the total moment in μB/f.u.: 0.00
Formation energy in eV per atom: -0.358


Record 2
Computed, not measured: crystalline PmHo9Tm2 at its relaxed geometry at the PBE level of DFT.

Unit cell a=4.9899 b=4.9899 c=14.9746 alpha=90.00 beta=90.00 gamma=90.00
Element x y z (fractional)
Pm1 0.0000 0.0000 0.0000
Ho1 0.0000 0.5000 0.1691
Ho2 0.0000 0.5000 0.5000
Ho3 0.0000 0.5000 0.8309
Ho4 0.5000 0.0000 0.1691
Ho5 0.5000 0.0000 0.5000
Ho6 0.5000 0.0000 0.8309
Ho7 0.5000 0.5000 0.0000
Ho8 0.5000 0.5000 0.3351
Ho9 0.5000 0.5000 0.6649
Tm1 0.0000 0.0000 0.3345
Tm2 0.0000 0.0000 0.6655

Computed properties:
Size of the total moment in μB/f.u.: 0.00
Formation energy in eV per atom: 0.023